# 1
A plane-wave DFT calculation with PBE was carried out for a relaxed Ca2P2N crystal.

Summary:
Offset from the most stable computed form in eV per atom: 0.0797
Formation energy without anion corrections in meV/atom: -312
Total magnetization in μB per formula unit: 0.00
Density of states at the Fermi level in states/eV/cell: 6.4

a b c (Å): 6.791 6.791 4.472
angles (deg): 90.00 90.00 90.00
Atoms (fractional coordinates):
Ca: 0.305 0.805 0.000
Ca: 0.195 0.305 0.000
P: 0.893 0.393 0.500
N: 0.500 0.500 0.000
P: 0.107 0.607 0.500
P: 0.393 0.107 0.500
N: 0.000 0.000 0.000
Ca: 0.695 0.195 0.000
P: 0.607 0.893 0.500
Ca: 0.805 0.695 0.000

***

# 2
A plane-wave DFT calculation with PBE was carried out for a relaxed Ca12P3N5 crystal.

Summary:
Formation energy without anion corrections in meV/atom: -922
Total magnetization in μB per formula unit: 0.00

a b c (Å): 13.310 13.310 13.310
angles (deg): 109.47 109.47 109.47
Atoms (fractional coordinates):
P: 0.375 0.750 0.625
P: 0.750 0.875 0.625
Ca: 0.977 0.379 0.296
Ca: 0.582 0.879 0.401
Ca: 0.901 0.819 0.523
Ca: 0.023 0.621 0.704
Ca: 0.704 0.121 0.023
Ca: 0.319 0.796 0.418
Ca: 0.681 0.204 0.582
Ca: 0.082 0.181 0.204
Ca: 0.319 0.523 0.401
Ca: 0.523 0.204 0.121
N: 0.250 0.375 0.625
Ca: 0.082 0.901 0.379
N: 0.000 0.500 0.000
N: 0.500 0.000 0.500
Ca: 0.379 0.977 0.796
Ca: 0.477 0.796 0.879
Ca: 0.901 0.082 0.879
N: 0.750 0.625 0.375
Ca: 0.599 0.977 0.681
P: 0.875 0.750 0.125
Ca: 0.204 0.681 0.082
Ca: 0.796 0.319 0.918
Ca: 0.181 0.099 0.977
Ca: 0.879 0.296 0.477
N: 0.625 0.875 0.250
N: 0.875 0.625 0.750
P: 0.750 0.375 0.125
Ca: 0.099 0.918 0.121
Ca: 0.819 0.918 0.296
N: 0.125 0.375 0.250
P: 0.250 0.125 0.375
Ca: 0.819 0.901 0.023
N: 0.500 0.500 0.500
Ca: 0.023 0.401 0.819
Ca: 0.918 0.819 0.796
Ca: 0.296 0.418 0.819
Ca: 0.621 0.599 0.918
P: 0.625 0.375 0.750
Ca: 0.401 0.379 0.582
Ca: 0.099 0.181 0.477
Ca: 0.599 0.621 0.418
P: 0.250 0.625 0.875
P: 0.125 0.250 0.875
N: 0.875 0.250 0.625
Ca: 0.418 0.296 0.319
N: 0.250 0.875 0.125
Ca: 0.977 0.599 0.181
Ca: 0.918 0.099 0.621
Ca: 0.401 0.023 0.319
P: 0.125 0.875 0.750
Ca: 0.704 0.582 0.181
N: 0.000 0.500 0.500
Ca: 0.523 0.319 0.901
Ca: 0.879 0.582 0.901
P: 0.375 0.625 0.250
N: 0.375 0.250 0.125
N: 0.625 0.750 0.875
Ca: 0.181 0.082 0.704
Ca: 0.121 0.418 0.099
Ca: 0.379 0.401 0.082
Ca: 0.796 0.477 0.379
N: 0.375 0.125 0.750
Ca: 0.418 0.121 0.599
N: 0.500 0.000 0.000
N: 0.500 0.500 0.000
Ca: 0.681 0.477 0.599
Ca: 0.621 0.023 0.204
Ca: 0.121 0.704 0.523
P: 0.625 0.250 0.375
Ca: 0.582 0.704 0.681
N: 0.750 0.125 0.875
N: 0.125 0.750 0.375
N: 0.000 0.000 0.500
Ca: 0.204 0.523 0.621
Ca: 0.296 0.879 0.977
P: 0.875 0.125 0.250
N: 0.000 0.000 0.000
Ca: 0.477 0.681 0.099

***

# 3
A plane-wave DFT calculation with PBE was carried out for a relaxed Ca3PN3 crystal.

Summary:
Formation energy without anion corrections in meV/atom: -857
Total magnetization in μB per formula unit: 0.00
Density of states at the Fermi level in states/eV/cell: 2.2

a b c (Å): 4.932 6.570 6.569
angles (deg): 101.62 90.00 90.00
Atoms (fractional coordinates):
P: 0.250 0.298 0.702
N: 0.750 0.447 0.190
Ca: 0.750 0.588 0.823
Ca: 0.250 0.412 0.177
Ca: 0.750 0.178 0.412
P: 0.750 0.702 0.298
N: 0.250 0.129 0.871
Ca: 0.250 0.893 0.108
N: 0.250 0.553 0.810
Ca: 0.750 0.107 0.892
N: 0.750 0.871 0.129
N: 0.250 0.190 0.447
N: 0.750 0.810 0.553
Ca: 0.250 0.822 0.588

***

# 4
A plane-wave DFT calculation with PBE was carried out for a relaxed Ca4PN2 crystal.

Summary:
Formation energy without anion corrections in meV/atom: -659
Total magnetization in μB per formula unit: 0.22
Density of states at the Fermi level in states/eV/cell: 7.8

a b c (Å): 6.779 7.693 7.693
angles (deg): 60.77 63.86 63.86
Site moments in Bohr magnetons follow the coordinates.
Atoms (fractional coordinates):
Ca: 0.260 0.748 0.248  0.00
Ca: 0.256 0.252 0.752  0.00
N: 0.142 0.108 0.608  0.06
Ca: 0.284 0.748 0.685  0.00
N: 0.858 0.892 0.392  0.06
Ca: 0.716 0.815 0.752  0.00
P: 0.500 0.500 0.000  0.01
P: 0.000 0.500 0.000  0.01
Ca: 0.284 0.185 0.248  0.00
Ca: 0.716 0.252 0.315  0.00
Ca: 0.744 0.748 0.248  0.00
Ca: 0.740 0.252 0.752  0.00
N: 0.500 0.500 0.500  0.08
N: 0.500 0.000 0.000  0.08

***

# 5
A plane-wave DFT calculation with PBE was carried out for a relaxed CaPN3 crystal.

Summary:
Formation energy without anion corrections in meV/atom: 2416
Total magnetization in μB per formula unit: 4.00
Density of states at the Fermi level in states/eV/cell: 2.6

a b c (Å): 4.463 4.463 4.463
angles (deg): 90.00 90.00 90.00
Site moments in Bohr magnetons follow the coordinates.
Atoms (fractional coordinates):
N: 0.000 0.500 0.000  1.27
N: 0.500 0.000 0.000  1.03
Ca: 0.000 0.000 0.000  0.07
P: 0.500 0.500 0.500  -0.72
N: 0.000 0.000 0.500  1.40

***

# 6
A plane-wave DFT calculation with PBE was carried out for a relaxed CaPN3 crystal.

Summary:
Formation energy without anion corrections in meV/atom: 129
Total magnetization in μB per formula unit: 0.00
Density of states at the Fermi level in states/eV/cell: 3.1

a b c (Å): 3.577 3.577 3.577
angles (deg): 90.00 90.00 90.00
Atoms (fractional coordinates):
N: 0.000 0.500 0.000
N: 0.000 0.000 0.500
Ca: 0.500 0.500 0.500
P: 0.000 0.000 0.000
N: 0.500 0.000 0.000

***

# 7
A plane-wave DFT calculation with PBE was carried out for a relaxed Ca2PN3 crystal.

Summary:
Formation energy without anion corrections in meV/atom: -1121
Total magnetization in μB per formula unit: 0.00
Density of states at the Fermi level in states/eV/cell: 0.0

a b c (Å): 5.224 5.813 11.315
angles (deg): 90.00 90.00 116.70
Atoms (fractional coordinates):
Ca: 0.638 0.275 0.926
P: 0.744 0.489 0.165
N: 0.340 0.680 0.449
N: 0.589 0.178 0.140
N: 0.539 0.578 0.250
N: 0.461 0.422 0.750
Ca: 0.052 0.105 0.142
Ca: 0.448 0.895 0.642
Ca: 0.362 0.725 0.074
Ca: 0.138 0.275 0.574
Ca: 0.552 0.105 0.358
Ca: 0.862 0.725 0.426
N: 0.660 0.320 0.551
N: 0.961 0.422 0.750
P: 0.756 0.511 0.665
N: 0.911 0.822 0.640
N: 0.039 0.578 0.250
N: 0.411 0.822 0.860
P: 0.244 0.489 0.335
Ca: 0.948 0.895 0.858
N: 0.089 0.178 0.360
P: 0.256 0.511 0.835
N: 0.160 0.320 0.949
N: 0.840 0.680 0.051

***

# 8
A plane-wave DFT calculation with PBE was carried out for a relaxed Ca2PN crystal.

Summary:
Offset from the most stable computed form in eV per atom: 0.1786
Formation energy without anion corrections in meV/atom: -209
Total magnetization in μB per formula unit: 1.79
Density of states at the Fermi level in states/eV/cell: 2.0

a b c (Å): 4.744 4.744 4.744
angles (deg): 60.00 60.00 60.00
Site moments in Bohr magnetons follow the coordinates.
Atoms (fractional coordinates):
N: 0.000 0.000 0.000  0.80
P: 0.500 0.500 0.500  0.28
Ca: 0.250 0.250 0.250  0.02
Ca: 0.750 0.750 0.750  0.02

***

# 9
A plane-wave DFT calculation with PBE was carried out for a relaxed Ca4P2N crystal.

Summary:
Offset from the most stable computed form in eV per atom: 0.1655
Formation energy without anion corrections in meV/atom: -816
Total magnetization in μB per formula unit: 0.00
Density of states at the Fermi level in states/eV/cell: 7.6

a b c (Å): 6.374 6.560 8.571
angles (deg): 90.00 110.07 90.00
Atoms (fractional coordinates):
P: 0.762 0.750 0.563
Ca: 0.528 0.492 0.743
P: 0.320 0.250 0.955
N: 0.785 0.250 0.821
Ca: 0.528 0.008 0.743
P: 0.680 0.750 0.045
Ca: 0.073 0.750 0.908
Ca: 0.472 0.992 0.257
P: 0.238 0.250 0.437
Ca: 0.472 0.508 0.257
N: 0.215 0.750 0.179
Ca: 0.958 0.250 0.637
Ca: 0.042 0.750 0.363
Ca: 0.927 0.250 0.092

***

# 10
A plane-wave DFT calculation with PBE was carried out for a relaxed Ca2P2N crystal.

Summary:
Offset from the most stable computed form in eV per atom: 0.0000
Formation energy without anion corrections in meV/atom: -392
Total magnetization in μB per formula unit: 0.26
Density of states at the Fermi level in states/eV/cell: 2.8

a b c (Å): 3.307 3.307 8.175
angles (deg): 78.33 78.33 90.00
Site moments in Bohr magnetons follow the coordinates.
Atoms (fractional coordinates):
Ca: 0.413 0.413 0.173  0.00
N: 0.000 0.000 0.000  0.18
P: 0.750 0.250 0.500  0.00
P: 0.250 0.750 0.500  0.00
Ca: 0.587 0.587 0.827  0.00

***

# 11
A plane-wave DFT calculation with PBE was carried out for a relaxed Ca6P3N crystal.

Summary:
Formation energy without anion corrections in meV/atom: -1043
Total magnetization in μB per formula unit: 0.00

a b c (Å): 8.099 8.099 8.099
angles (deg): 93.53 93.53 93.53
Atoms (fractional coordinates):
Ca: 0.932 0.070 0.705
P: 0.260 0.081 0.576
Ca: 0.579 0.454 0.791
P: 0.081 0.576 0.260
Ca: 0.070 0.705 0.932
Ca: 0.546 0.209 0.421
Ca: 0.421 0.546 0.209
Ca: 0.068 0.930 0.295
Ca: 0.295 0.068 0.930
Ca: 0.209 0.421 0.546
Ca: 0.930 0.295 0.068
P: 0.919 0.424 0.740
Ca: 0.705 0.932 0.070
P: 0.424 0.740 0.919
Ca: 0.454 0.791 0.579
P: 0.740 0.919 0.424
N: 0.500 0.500 0.500
Ca: 0.791 0.579 0.454
P: 0.576 0.260 0.081
N: 0.000 0.000 0.000

***

# 12
A plane-wave DFT calculation with PBE was carried out for a relaxed Ca4P2N crystal.

Summary:
Offset from the most stable computed form in eV per atom: 0.0000
Formation energy without anion corrections in meV/atom: -981
Total magnetization in μB per formula unit: 0.00
Density of states at the Fermi level in states/eV/cell: 4.5

a b c (Å): 4.610 4.610 8.127
angles (deg): 73.52 73.52 90.00
Atoms (fractional coordinates):
Ca: 0.831 0.831 0.339
P: 0.637 0.637 0.727
Ca: 0.000 0.500 0.000
N: 0.000 0.000 0.000
P: 0.363 0.363 0.273
Ca: 0.500 0.000 0.000
Ca: 0.169 0.169 0.661